Record 1
An optimized crystal structure of VCdSbTe2. Source: the Alexandria database, functional PBE.

Calculated values
total magnetic moment: 0.00 μB per cell
ΔE_f (raw): 225.9 meV per atom

Cell lengths 5.206, 5.206, 5.262 Å; angles 90.00, 90.00, 90.00 degrees
Fractional coordinates of all 5 atoms:
Sb: 0.000 0.000 0.500
V: 0.000 0.000 0.000
Te: 0.000 0.500 0.000
Te: 0.500 0.000 0.000
Cd: 0.500 0.500 0.500

Record 2
An optimized crystal structure of VCdSb2Te. Source: the Alexandria database, functional PBE.

Calculated values
total magnetic moment: 0.00 μB per cell
ΔE_f (raw): 259.1 meV per atom

Cell lengths 5.192, 5.192, 5.183 Å; angles 90.00, 90.00, 90.00 degrees
Fractional coordinates of all 5 atoms:
Sb: 0.000 0.500 0.000
Sb: 0.500 0.000 0.000
V: 0.000 0.000 0.000
Te: 0.000 0.000 0.500
Cd: 0.500 0.500 0.500

Record 3
An optimized crystal structure of VCdSb2Te. Source: the Alexandria database, functional PBE.

Calculated values
total magnetic moment: 3.39 μB per cell
ΔE_f (raw): 1085.2 meV per atom

Cell lengths 5.411, 5.411, 5.656 Å; angles 90.00, 90.00, 90.00 degrees
Site moments in Bohr magnetons follow the coordinates.
Fractional coordinates of all 5 atoms:
Sb: 0.000 0.500 0.000  -0.07
Sb: 0.500 0.000 0.000  -0.07
V: 0.500 0.500 0.500  3.06
Te: 0.000 0.000 0.500  -0.07
Cd: 0.000 0.000 0.000  0.01

Record 4
An optimized crystal structure of ZrCdSb2Te. Source: the Alexandria database, functional PBE.

Calculated values
total magnetic moment: 0.00 μB per cell
ΔE_f (raw): 134.3 meV per atom

Cell lengths 5.606, 5.552, 5.606 Å; angles 90.00, 90.00, 90.00 degrees
Fractional coordinates of all 5 atoms:
Sb: 0.000 0.000 0.500
Sb: 0.500 0.000 0.000
Te: 0.000 0.500 0.000
Zr: 0.000 0.000 0.000
Cd: 0.500 0.500 0.500

Record 5
An optimized crystal structure of ZrCdSbTe2. Source: the Alexandria database, functional PBE.

Calculated values
total magnetic moment: 0.00 μB per cell
ΔE_f (raw): -0.9 meV per atom

Cell lengths 5.579, 5.579, 5.679 Å; angles 90.00, 90.00, 90.00 degrees
Fractional coordinates of all 5 atoms:
Sb: 0.000 0.000 0.500
Te: 0.000 0.500 0.000
Te: 0.500 0.000 0.000
Zr: 0.000 0.000 0.000
Cd: 0.500 0.500 0.500

Record 6
An optimized crystal structure of ThCdSb2. Source: the Alexandria database, functional PBE.

Calculated values
total magnetic moment: 0.00 μB per cell
ΔE_f (raw): -343.5 meV per atom

Cell lengths 4.577, 4.577, 7.323 Å; angles 71.79, 71.79, 60.00 degrees
Fractional coordinates of all 4 atoms:
Sb: 0.747 0.747 0.758
Sb: 0.253 0.253 0.242
Th: 0.500 0.500 0.500
Cd: 0.000 0.000 0.000

Record 7
An optimized crystal structure of ThCd2Sb. Source: the Alexandria database, functional PBE.

Calculated values
total magnetic moment: 0.00 μB per cell
ΔE_f (raw): 266.0 meV per atom

Cell lengths 3.360, 3.360, 11.885 Å; angles 81.87, 81.87, 60.00 degrees
Fractional coordinates of all 4 atoms:
Sb: 0.500 0.500 0.500
Th: 0.000 0.000 0.000
Cd: 0.092 0.092 0.724
Cd: 0.908 0.908 0.276

Record 8
An optimized crystal structure of ThCdSb. Source: the Alexandria database, functional PBE.

Calculated values
total magnetic moment: 0.00 μB per cell
ΔE_f (raw): -369.7 meV per atom

Cell lengths 4.187, 8.295, 8.295 Å; angles 120.00, 90.00, 90.00 degrees
Fractional coordinates of all 9 atoms:
Cd: 0.000 0.000 0.737
Cd: 0.000 0.737 0.000
Cd: 0.000 0.263 0.263
Sb: 0.000 0.667 0.333
Sb: 0.000 0.333 0.667
Sb: 0.500 0.000 0.000
Th: 0.500 0.000 0.386
Th: 0.500 0.614 0.614
Th: 0.500 0.386 0.000

Record 9
An optimized crystal structure of ThCd2Sb. Source: the Alexandria database, functional PBE.

Calculated values
total magnetic moment: 0.00 μB per cell
ΔE_f (raw): -388.0 meV per atom

Cell lengths 5.127, 4.534, 4.534 Å; angles 90.00, 90.00, 90.00 degrees
Fractional coordinates of all 4 atoms:
Sb: 0.500 0.500 0.500
Th: 0.500 0.000 0.000
Cd: 0.000 0.000 0.500
Cd: 0.000 0.500 0.000

Record 10
An optimized crystal structure of ThCdSb2. Source: the Alexandria database, functional PBE.

Calculated values
total magnetic moment: 0.00 μB per cell
ΔE_f (raw): -522.5 meV per atom

Cell lengths 4.138, 5.088, 5.088 Å; angles 90.00, 90.00, 90.00 degrees
Fractional coordinates of all 4 atoms:
Sb: 0.000 0.000 0.500
Sb: 0.000 0.500 0.000
Th: 0.500 0.500 0.500
Cd: 0.500 0.000 0.000

Record 11
An optimized crystal structure of TiCd3Sb. Source: the Alexandria database, functional PBE.

Calculated values
total magnetic moment: 1.30 μB per cell
ΔE_f (raw): 795.8 meV per atom

Cell lengths 5.328, 5.328, 5.328 Å; angles 90.00, 90.00, 90.00 degrees
Site moments in Bohr magnetons follow the coordinates.
Fractional coordinates of all 5 atoms:
Sb: 0.500 0.500 0.500  -0.17
Ti: 0.000 0.000 0.000  1.27
Cd: 0.000 0.500 0.000  0.03
Cd: 0.000 0.000 0.500  0.01
Cd: 0.500 0.000 0.000  0.05

Record 12
An optimized crystal structure of TiCdSb2. Source: the Alexandria database, functional PBE.

Calculated values
total magnetic moment: 0.00 μB per cell
ΔE_f (raw): -125.0 meV per atom

Cell lengths 3.764, 3.764, 6.398 Å; angles 90.00, 90.00, 90.00 degrees
Fractional coordinates of all 4 atoms:
Sb: 0.000 0.000 0.774
Sb: 0.000 0.000 0.226
Ti: 0.500 0.500 0.000
Cd: 0.500 0.500 0.500